Entry 1:
Compound: Ti2Ga3Pd
Source: the Alexandria database
Functional: GGA-PBE
Structure: optimized geometry

Summary:
**Calculated formation energy**: -491 meV/atom
**Uncorrected energy**: -33.012 eV/f.u.

Unit cell a=3.8539 b=12.4417 c=3.9159 alpha=90.00 beta=90.00 gamma=90.00
Space group Cmmm (No. 65)
Symmetry-distinct sites (fractional):
Ti: 0.0000 0.1657 0.0000
Ga: 0.0000 0.0000 0.5000
Ga: 0.0000 0.3319 0.5000
Pd: 0.0000 0.5000 0.0000

Entry 2:
Compound: Ti3Ga4Pd4
Source: the Alexandria database
Functional: GGA-PBE
Structure: optimized geometry

Summary:
**Calculated formation energy**: -530 meV/atom
**Uncorrected energy**: -62.393 eV/f.u.

Unit cell a=2.8525 b=4.4187 c=27.3370 alpha=90.00 beta=90.00 gamma=90.00
Space group Immm (No. 71)
Symmetry-distinct sites (fractional):
Ti: 0.0000 0.0000 0.0000
Ti: 0.0000 0.5000 0.1380
Ga: 0.0000 0.0000 0.2689
Ga: 0.0000 0.5000 0.4073
Pd: 0.0000 0.0000 0.4514
Pd: 0.0000 0.5000 0.3154

Entry 3:
Compound: TiGaPd3
Source: the Alexandria database
Functional: GGA-PBE
Structure: optimized geometry

Summary:
**Energy relative to the lowest polymorph listed for this composition**: 0 meV/atom
**Calculated formation energy**: -646 meV/atom
**Uncorrected energy**: -29.730 eV/f.u.

Unit cell a=5.0320 b=4.4895 c=7.0440 alpha=90.00 beta=107.52 gamma=90.00
Space group P2_1/m (No. 11)
Symmetry-distinct sites (fractional):
Ti: 0.0721 0.2500 0.3287
Ga: 0.4613 0.2500 0.1209
Pd: 0.1677 0.7500 0.0741
Pd: 0.2429 0.2500 0.7281
Pd: 0.3374 0.7500 0.5003

Entry 4:
Compound: Ti5Ga5Pd2
Source: the Alexandria database
Functional: GGA-PBE
Structure: optimized geometry

Summary:
**Calculated formation energy**: -416 meV/atom
**Uncorrected energy**: -69.987 eV/f.u.

Unit cell a=10.0882 b=4.2450 c=9.8025 alpha=90.00 beta=113.89 gamma=90.00
Space group C2/m (No. 12)
Symmetry-distinct sites (fractional):
Ti: 0.0000 0.0000 0.0000
Ti: 0.0971 0.0000 0.7567
Ti: 0.1619 0.0000 0.5130
Ga: 0.0000 0.5000 0.5000
Ga: 0.1700 0.5000 0.9656
Ga: 0.2312 0.0000 0.2741
Pd: 0.0826 0.5000 0.2554

Entry 5:
Compound: TiGaPd2
Source: the Alexandria database
Functional: GGA-PBE
Structure: optimized geometry

Summary:
**Calculated formation energy**: -475 meV/atom
**Uncorrected energy**: -23.209 eV/f.u.

Unit cell a=2.9483 b=2.9483 c=25.0507 alpha=90.00 beta=90.00 gamma=120.00
Space group R3m (No. 160, hexagonal axes)
Symmetry-distinct sites (fractional):
Ti: 0.0000 0.0000 0.0000
Ga: 0.0000 0.0000 0.1667
Pd: 0.0000 0.0000 0.4188
Pd: 0.0000 0.0000 0.5812

Entry 6:
Compound: TiGaPd
Source: the Alexandria database
Functional: GGA-PBE
Structure: optimized geometry

Summary:
**Calculated formation energy**: -256 meV/atom
**Uncorrected energy**: -16.883 eV/f.u.

Unit cell a=2.8898 b=16.0918 c=4.1859 alpha=90.00 beta=90.00 gamma=90.00
Space group Cmcm (No. 63)
Symmetry-distinct sites (fractional):
Ti: 0.0000 0.0470 0.2500
Ga: 0.0000 0.2125 0.2500
Pd: 0.0000 0.3817 0.2500

Entry 7:
Compound: TiGa2Pd
Source: the Alexandria database
Functional: GGA-PBE
Structure: optimized geometry

Summary:
**Calculated formation energy**: -411 meV/atom
**Uncorrected energy**: -20.785 eV/f.u.

Unit cell a=2.9487 b=2.9487 c=25.4938 alpha=90.00 beta=90.00 gamma=120.00
Space group R3m (No. 160, hexagonal axes)
Symmetry-distinct sites (fractional):
Ti: 0.0000 0.0000 0.0000
Ga: 0.0000 0.0000 0.2472
Ga: 0.0000 0.0000 0.4210
Pd: 0.0000 0.0000 0.8339

Entry 8:
Compound: Ti3GaPd4
Source: the Alexandria database
Functional: GGA-PBE
Structure: optimized geometry

Summary:
**Calculated formation energy**: -557 meV/atom
**Uncorrected energy**: -51.938 eV/f.u.

Unit cell a=9.2939 b=5.5636 c=4.8171 alpha=90.00 beta=90.00 gamma=90.00
Space group Pmn2_1 (No. 31)
Symmetry-distinct sites (fractional):
Ti: 0.0000 0.0726 0.0000
Ti: 0.2430 0.6486 0.7131
Ga: 0.0000 0.5725 0.0310
Pd: 0.0000 0.3494 0.5152
Pd: 0.0000 0.8526 0.5254
Pd: 0.2462 0.8566 0.2079

Entry 9:
Compound: Ti6Ga5Pd
Source: the Alexandria database
Functional: GGA-PBE
Structure: optimized geometry

Summary:
**Calculated formation energy**: -492 meV/atom
**Uncorrected energy**: -73.595 eV/f.u.

Unit cell a=3.9545 b=7.9287 c=12.0219 alpha=90.00 beta=90.00 gamma=90.00
Space group Immm (No. 71)
Symmetry-distinct sites (fractional):
Ti: 0.0000 0.2427 0.0000
Ti: 0.0000 0.2541 0.3321
Ga: 0.0000 0.0000 0.1690
Ga: 0.0000 0.5000 0.1589
Ga: 0.0000 0.5000 0.5000
Pd: 0.0000 0.0000 0.5000

Entry 10:
Compound: Ti2GaPd8
Source: the Alexandria database
Functional: GGA-PBE
Structure: optimized geometry

Summary:
**Calculated formation energy**: -539 meV/atom
**Uncorrected energy**: -66.287 eV/f.u.

Unit cell a=14.6350 b=4.4219 c=5.7840 alpha=90.00 beta=113.16 gamma=90.00
Space group C2/m (No. 12)
Symmetry-distinct sites (fractional):
Ti: 0.1897 0.0000 0.1890
Ga: 0.0000 0.5000 0.5000
Pd: 0.0006 0.0000 0.2393
Pd: 0.1400 0.5000 0.9058
Pd: 0.1412 0.5000 0.3778
Pd: 0.1823 0.0000 0.6839

Entry 11:
Compound: Ti5GaPd
Source: the Alexandria database
Functional: GGA-PBE
Structure: optimized geometry

Summary:
**Calculated formation energy**: -212 meV/atom
**Uncorrected energy**: -49.180 eV/f.u.

Unit cell a=9.9357 b=9.4778 c=5.2340 alpha=90.00 beta=107.37 gamma=90.00
Space group C2/c (No. 15)
Symmetry-distinct sites (fractional):
Ti: 0.0000 0.2243 0.2500
Ti: 0.1459 0.3046 0.8247
Ti: 0.2419 0.0859 0.5874
Ga: 0.0000 0.0613 0.7500
Pd: 0.0000 0.5000 0.0000

Entry 12:
Compound: Ti2Ga2Pd3
Source: the Alexandria database
Functional: GGA-PBE
Structure: optimized geometry

Summary:
**Energy relative to the lowest polymorph listed for this composition**: 0 meV/atom
**Calculated formation energy**: -542 meV/atom
**Uncorrected energy**: -41.213 eV/f.u.

Unit cell a=4.5974 b=4.8711 c=5.4512 alpha=99.90 beta=114.71 gamma=90.13
Space group P-1 (No. 2)
Symmetry-distinct sites (fractional):
Ti: 0.1466 0.0852 0.2931
Ga: 0.4353 0.2206 0.8709
Pd: 0.0000 0.5000 0.0000
Pd: 0.2852 0.6613 0.5706